[1]
Material: GaHRh2
Method: DFT, PBE
State: optimized geometry

Lattice parameters (Å, degrees): 2.853 2.853 5.766 90.00 90.00 90.00
Space group P4/mmm (No. 123)
Symmetry-distinct sites (fractional):
Ga 0.000 0.000 0.000 x1
H 0.000 0.000 0.500 x1
Rh 0.500 0.500 0.276 x2

Crystal system: tetragonal
Distance to the lowest polymorph of the same formula (meV per atom): 284
E_tot (eV per formula unit): -21.08

---

[2]
Material: GaH3Rh
Method: DFT, PBE
State: optimized geometry

Lattice parameters (Å, degrees): 3.520 3.520 3.520 90.00 90.00 90.00
Space group Pm-3m (No. 221)
Symmetry-distinct sites (fractional):
Ga 0.000 0.000 0.000 x1
H 0.000 0.000 0.500 x3
Rh 0.500 0.500 0.500 x1

Crystal system: cubic
Distance to the lowest polymorph of the same formula (meV per atom): 640
E_tot (eV per formula unit): -16.68

---

[3]
Material: GaSbHRh4
Method: DFT, PBE
State: optimized geometry

Lattice parameters (Å, degrees): 5.472 13.062 5.520 90.00 90.00 90.00
Space group Cmcm (No. 63)
Symmetry-distinct sites (fractional):
Ga 0.000 0.112 0.250 x4
Sb 0.000 0.392 0.250 x4
H 0.000 0.241 0.750 x4
Rh 0.000 0.078 0.750 x4
Rh 0.000 0.415 0.750 x4
Rh 0.250 0.250 0.000 x8

Crystal system: orthorhombic
E_tot (eV per formula unit): -41.86

---

[4]
Material: ScGaHRh2
Method: DFT, PBE
State: optimized geometry

Lattice parameters (Å, degrees): 4.071 4.071 3.871 90.00 90.00 90.00
Space group P4/mmm (No. 123)
Symmetry-distinct sites (fractional):
Sc 0.000 0.000 0.000 x1
Ga 0.500 0.500 0.000 x1
H 0.000 0.000 0.500 x1
Rh 0.000 0.500 0.500 x2

Crystal system: tetragonal
E_tot (eV per formula unit): -30.69

---

[5]
Material: Sm2GaHRh6
Method: DFT, PBE
State: optimized geometry

Lattice parameters (Å, degrees): 8.664 8.677 6.106 90.00 134.70 90.00
Space group C2/m (No. 12)
Symmetry-distinct sites (fractional):
Sm 0.000 0.248 0.000 x4
Ga 0.000 0.000 0.500 x2
H 0.000 0.500 0.500 x2
Rh 0.000 0.275 0.500 x4
Rh 0.223 0.500 0.497 x4
Rh 0.223 0.500 0.950 x4

Crystal system: monoclinic
E_tot (eV per formula unit): -64.80

---

[6]
Material: SrGaH8Rh2
Method: DFT, PBE
State: optimized geometry

Lattice parameters (Å, degrees): 9.159 4.004 8.255 90.00 115.66 90.00
Space group C2/m (No. 12)
Symmetry-distinct sites (fractional):
Sr 0.000 0.000 0.000 x2
Ga 0.000 0.000 0.500 x2
H 0.130 0.500 0.920 x4
H 0.145 0.387 0.341 x8
H 0.232 0.500 0.720 x4
Rh 0.047 0.500 0.696 x4

Crystal system: monoclinic
E_tot (eV per formula unit): -48.68

---

[7]
Material: Sr2GaHRh
Method: DFT, PBE
State: optimized geometry

Lattice parameters (Å, degrees): 5.418 5.418 3.666 90.00 90.00 90.00
Space group P4/mmm (No. 123)
Symmetry-distinct sites (fractional):
Sr 0.000 0.500 0.000 x2
Ga 0.000 0.000 0.500 x1
H 0.500 0.500 0.000 x1
Rh 0.500 0.500 0.500 x1

Crystal system: tetragonal
E_tot (eV per formula unit): -18.78

---

[8]
Material: TaGaHRh2
Method: DFT, PBE
State: optimized geometry

Lattice parameters (Å, degrees): 3.970 3.970 4.025 90.00 90.00 90.00
Space group P4/mmm (No. 123)
Symmetry-distinct sites (fractional):
Ta 0.000 0.000 0.000 x1
Ga 0.500 0.500 0.000 x1
H 0.000 0.000 0.500 x1
Rh 0.000 0.500 0.500 x2

Crystal system: tetragonal
E_tot (eV per formula unit): -34.30

---

[9]
Material: TbGaHRh2
Method: DFT, PBE
State: optimized geometry

Lattice parameters (Å, degrees): 3.662 11.184 7.328 90.00 90.00 90.00
Space group Cmcm (No. 63)
Symmetry-distinct sites (fractional):
Tb 0.000 0.042 0.250 x4
Ga 0.000 0.233 0.750 x4
H 0.000 0.500 0.000 x4
Rh 0.000 0.350 0.048 x8

Crystal system: orthorhombic
E_tot (eV per formula unit): -29.14

---

[10]
Material: GaTcHRh2
Method: DFT, PBE
State: optimized geometry

Lattice parameters (Å, degrees): 3.897 3.897 3.975 90.00 90.00 90.00
Space group P4/mmm (No. 123)
Symmetry-distinct sites (fractional):
Ga 0.000 0.000 0.000 x1
Tc 0.500 0.500 0.000 x1
H 0.500 0.500 0.500 x1
Rh 0.000 0.500 0.500 x2

Crystal system: tetragonal
E_tot (eV per formula unit): -31.85

---

[11]
Material: Th4GaH3Rh12
Method: DFT, PBE
State: optimized geometry

Lattice parameters (Å, degrees): 8.519 8.519 8.519 90.00 90.00 90.00
Space group Im-3m (No. 229)
Symmetry-distinct sites (fractional):
Th 0.250 0.250 0.250 x8
Ga 0.000 0.000 0.000 x2
H 0.000 0.000 0.500 x6
Rh 0.000 0.000 0.282 x12
Rh 0.000 0.250 0.500 x12

Crystal system: cubic
E_tot (eV per formula unit): -144.71

---

[12]
Material: ThGaHRh2
Method: DFT, PBE
State: optimized geometry

Lattice parameters (Å, degrees): 4.111 11.156 6.949 90.00 90.00 90.00
Space group Cmcm (No. 63)
Symmetry-distinct sites (fractional):
Th 0.000 0.090 0.250 x4
Ga 0.000 0.192 0.750 x4
H 0.000 0.500 0.000 x4
Rh 0.000 0.344 0.038 x8

Crystal system: orthorhombic
E_tot (eV per formula unit): -32.08

---

Short version: ρ = 9.8; 6.7; 10.2; 8.3; 10.1; 4.5; 5.4; 12.0; 9.6; 10.3; 12.0; 10.6 g cm⁻³, in the order given.